No. 1
A geometry-optimized AlBr structure, computed with GGA-PBE.

Calculated values
Density of states at the Fermi level   0.9 states/eV/cell
Space-group type   P4/mnc (128)
Electronic total energy   -48.6 eV per cell
ρ   3.10 g/cm3
Formation energy (no corrections)   -0.33 eV/atom

Cell: 9.0461 9.0461 5.5996 Å, 90.00 90.00 90.00°
With the nearest neighbours (Å) after each atom.
Fractional coordinates of all 16 atoms:
Al (0.0864, 0.1870, 0.0000)  1 Br 2.48, 2 Al 2.64
Al (0.1870, 0.9136, 0.0000)  1 Br 2.48, 2 Al 2.64
Al (0.3130, 0.4136, 0.5000)  1 Br 2.48, 2 Al 2.64
Al (0.4136, 0.6870, 0.5000)  1 Br 2.48, 2 Al 2.64
Al (0.5864, 0.3130, 0.5000)  1 Br 2.48, 2 Al 2.64
Al (0.6870, 0.5864, 0.5000)  1 Br 2.48, 2 Al 2.64
Al (0.8130, 0.0864, 0.0000)  1 Br 2.48, 2 Al 2.64
Al (0.9136, 0.8130, 0.0000)  1 Br 2.48, 2 Al 2.64
Br (0.0812, 0.2678, 0.5000)  1 Al 2.48
Br (0.2322, 0.4188, 0.0000)  1 Al 2.48
Br (0.2678, 0.9188, 0.5000)  1 Al 2.48
Br (0.4188, 0.7678, 0.0000)  1 Al 2.48
Br (0.5812, 0.2322, 0.0000)  1 Al 2.48
Br (0.7322, 0.0812, 0.5000)  1 Al 2.48
Br (0.7678, 0.5812, 0.0000)  1 Al 2.48
Br (0.9188, 0.7322, 0.5000)  1 Al 2.48


No. 2
A geometry-optimized AlBr structure, computed with GGA-PBE.

Calculated values
Density of states at the Fermi level   1.0 states/eV/cell
Space-group type   P4/nmm (129)
Electronic total energy   -11.8 eV per cell
ρ   3.57 g/cm3
Formation energy (no corrections)   -0.25 eV/atom

Cell: 3.3257 3.3257 8.9896 Å, 90.00 90.00 90.00°
With the nearest neighbours (Å) after each atom.
Fractional coordinates of all 4 atoms:
Al (0.2500, 0.2500, 0.0955)  4 Br 2.89, 4 Al 2.91
Al (0.7500, 0.7500, 0.9045)  4 Br 2.89, 4 Al 2.91
Br (0.2500, 0.2500, 0.7181)  4 Al 2.89
Br (0.7500, 0.7500, 0.2819)  4 Al 2.89


No. 3
A geometry-optimized AlBr3 structure, computed with GGA-PBE.

Calculated values
Density of states at the Fermi level   3.1 states/eV/cell
Space-group type   R-3m (166)
Electronic total energy   -10.0 eV per cell
ρ   3.68 g/cm3
Formation energy (no corrections)   -0.31 eV/atom

Cell: 10.2676 10.2676 10.2676 Å, 20.87 20.87 20.87°
With the nearest neighbours (Å) after each atom.
Fractional coordinates of all 4 atoms:
Al (0.0000, 0.0000, 0.0000)  6 Br 2.65
Br (0.3847, 0.3847, 0.3847)  3 Al 2.65
Br (0.5000, 0.5000, 0.5000)  8 Br 3.47-3.72
Br (0.6153, 0.6153, 0.6153)  3 Al 2.65


No. 4
A geometry-optimized Al3Br4 structure, computed with GGA-PBE.

Calculated values
Density of states at the Fermi level   2.6 states/eV/cell
Energy above the lowest structure with this stoichiometry   0.0 kJ/mol of formula units
Space-group type   I4/mmm (139)
Electronic total energy   -19.8 eV per cell
ρ   3.54 g/cm3
Formation energy (no corrections)   -0.27 eV/atom

Cell: 16.6154 16.6154 16.6154 Å, 168.33 168.33 16.54°
With the nearest neighbours (Å) after each atom.
Fractional coordinates of all 7 atoms:
Al (0.0000, 0.0000, 0.0000)  8 Br 2.91
Al (0.2761, 0.2761, 0.0000)  4 Br 2.92, 4 Al 2.94
Al (0.7239, 0.7239, 0.0000)  4 Br 2.92, 4 Al 2.94
Br (0.1730, 0.1730, 0.0000)  4 Al 2.92
Br (0.4494, 0.4494, 0.0000)  4 Al 2.91
Br (0.5506, 0.5506, 0.0000)  4 Al 2.91
Br (0.8270, 0.8270, 0.0000)  4 Al 2.92


No. 5
A geometry-optimized AlBr3 structure, computed with GGA-PBE.

Calculated values
Density of states at the Fermi level   0.0 states/eV/cell
Space-group type   P2/m (10)
Electronic total energy   -12.5 eV per cell
ρ   3.34 g/cm3
Formation energy (no corrections)   -0.94 eV/atom

Cell: 5.1335 3.6292 7.5640 Å, 90.00 109.76 90.00°
With the nearest neighbours (Å) after each atom.
Fractional coordinates of all 4 atoms:
Al (0.0000, 0.0000, 0.0000)  6 Br 2.52-2.57
Br (0.1222, 0.5000, 0.2451)  2 Al 2.52
Br (0.5000, 0.0000, 0.0000)  2 Al 2.57
Br (0.8778, 0.5000, 0.7549)  2 Al 2.52


No. 6
A geometry-optimized AlC2Br structure, computed with GGA-PBE.

Calculated values
Density of states at the Fermi level   2.0 states/eV/cell
Energy above the lowest structure with this stoichiometry   353.8 kJ/mol of formula units
Space-group type   Fm-3m (225)
Electronic total energy   -13.5 eV per cell
ρ   4.37 g/cm3
Formation energy (no corrections)   2.60 eV/atom

Cell: 4.1272 4.1272 4.1272 Å, 60.00 60.00 60.00°
With the nearest neighbours (Å) after each atom.
Fractional coordinates of all 4 atoms:
Al (0.0000, 0.0000, 0.0000)  8 C 2.53
C (0.2500, 0.2500, 0.2500)  4 Br 2.53, 4 Al 2.53
C (0.7500, 0.7500, 0.7500)  4 Br 2.53, 4 Al 2.53
Br (0.5000, 0.5000, 0.5000)  8 C 2.53


No. 7
A geometry-optimized Al3CBr structure, computed with GGA-PBE.

Calculated values
Density of states at the Fermi level   1.0 states/eV/cell
Energy above the lowest structure with this stoichiometry   0.0 kJ/mol of formula units
Space-group type   Pm-3m (221)
Electronic total energy   -19.1 eV per cell
ρ   3.34 g/cm3
Formation energy (no corrections)   0.61 eV/atom

Cell: 4.4117 4.4117 4.4117 Å, 90.00 90.00 90.00°
With the nearest neighbours (Å) after each atom.
Fractional coordinates of all 5 atoms:
Al (0.0000, 0.0000, 0.5000)  2 C 2.21
Al (0.0000, 0.5000, 0.0000)  2 C 2.21
Al (0.5000, 0.0000, 0.0000)  2 C 2.21
C (0.0000, 0.0000, 0.0000)  6 Al 2.21
Br (0.5000, 0.5000, 0.5000)  12 Al 3.12


No. 8
A geometry-optimized AlC2Br structure, computed with GGA-PBE.

Calculated values
Density of states at the Fermi level   2.9 states/eV/cell
Energy above the lowest structure with this stoichiometry   0.0 kJ/mol of formula units
Space-group type   I-42d (122)
Electronic total energy   -34.3 eV per cell
ρ   3.54 g/cm3
Formation energy (no corrections)   1.68 eV/atom

Cell: 6.1514 6.1514 6.1514 Å, 132.88 132.88 68.84°
With the nearest neighbours (Å) after each atom.
Fractional coordinates of all 8 atoms:
Al (0.0000, 0.0000, 0.0000)  4 C 2.00
Al (0.7500, 0.2500, 0.5000)  4 C 2.00
C (0.0669, 0.6250, 0.9419)  2 Al 2.00
C (0.3750, 0.3169, 0.4419)  2 Al 2.00
C (0.6831, 0.1250, 0.0581)  2 Al 2.00
C (0.8750, 0.9331, 0.5581)  2 Al 2.00
Br (0.2500, 0.7500, 0.5000)  4 C 2.33
Br (0.5000, 0.5000, 0.0000)  4 C 2.33